Entry 1:
Material: CaBeN
Method: DFT, PBE-GGA
State: relaxed

Space group: Pnma
Distance to the lowest polymorph of the same formula, eV/atom: 0.000
Formation energy from raw total energies, eV per atom: -0.735

Cell lengths 3.7688, 5.4160, 8.2527 Å; angles 90.00, 90.00, 90.00 degrees
With the nearest neighbours (Å) after each atom.
Atoms (fractional coordinates):
Ca 0.7500 0.6634 0.8805  5 N 2.52-2.70, 3 Be 2.63-2.73
Ca 0.2500 0.8366 0.3805  5 N 2.52-2.70, 3 Be 2.63-2.73
Ca 0.2500 0.3366 0.1195  5 N 2.52-2.70, 3 Be 2.63-2.73
Ca 0.7500 0.1634 0.6195  5 N 2.52-2.70, 3 Be 2.63-2.73
Be 0.2500 0.0792 0.8354  2 N 1.62
Be 0.7500 0.9208 0.1646  2 N 1.62
Be 0.7500 0.4208 0.3354  2 N 1.62
Be 0.2500 0.5792 0.6646  2 N 1.62
N 0.7500 0.6246 0.1924  2 Be 1.62
N 0.7500 0.1246 0.3076  2 Be 1.62
N 0.2500 0.8754 0.6924  2 Be 1.62
N 0.2500 0.3754 0.8076  2 Be 1.62

***

Entry 2:
Material: CaBeN2
Method: DFT, PBE-GGA
State: relaxed

Space group: R-3m
Formation energy from raw total energies, eV per atom: 0.891

Cell lengths 6.1728, 6.1728, 6.1728 Å; angles 29.45, 29.45, 29.45 degrees
With the nearest neighbours (Å) after each atom.
Atoms (fractional coordinates):
N 0.1239 0.1239 0.1239  3 Be 1.96, 1 Ca 2.19
N 0.8761 0.8761 0.8761  3 Be 1.96, 1 Ca 2.19
Ca 0.0000 0.0000 0.0000  2 N 2.19
Be 0.5000 0.5000 0.5000  6 N 1.96